Entry 1:
# CrNi5Os2 PBE relaxed
data_CrNi5Os2
_chemical_formula_sum 'Cr4 Ni20 Os8'
_space_group_name_H-M_alt 'F m m 2'
_space_group_IT_number 42
_space_group_name_Hall 'F 2 -2'
_cell_length_a 5.138
_cell_length_b 8.300
_cell_length_c 8.972
_cell_angle_alpha 90.00
_cell_angle_beta 90.00
_cell_angle_gamma 90.00
loop_
_atom_site_label
_atom_site_fract_x
_atom_site_fract_y
_atom_site_fract_z
Cr1 0.000 0.000 0.000
Ni1 0.000 0.000 0.499
Ni2 0.249 0.000 0.254
Ni3 0.250 0.250 0.408
Os1 0.000 0.249 0.159
# magnetic moment	1.5	μB per formula unit
# formation enthalpy at 0 K	0.0733	eV per atom

Entry 2:
# CrTcNiOsPd PBE relaxed
data_CrTcNiOsPd
_chemical_formula_sum 'Cr1 Tc1 Ni1 Os1 Pd1'
_space_group_name_H-M_alt 'P 1'
_space_group_IT_number 1
_space_group_name_Hall 'P 1'
_cell_length_a 2.664
_cell_length_b 4.640
_cell_length_c 5.937
_cell_angle_alpha 98.25
_cell_angle_beta 102.48
_cell_angle_gamma 106.39
loop_
_atom_site_label
_atom_site_fract_x
_atom_site_fract_y
_atom_site_fract_z
Cr1 0.000 0.000 0.000
Tc1 0.835 0.205 0.389
Ni1 0.431 0.613 0.205
Os1 0.223 0.808 0.590
Pd1 0.638 0.413 0.822
# E above lowest polymorph	0.12	eV/f.u.
# magnetic moment	0.0	μB per formula unit
# formation enthalpy at 0 K	0.1259	eV per atom

Entry 3:
# CrTcNiOsPd PBE relaxed
data_CrTcNiOsPd
_chemical_formula_sum 'Cr2 Tc2 Ni2 Os2 Pd2'
_space_group_name_H-M_alt 'C 1 m 1'
_space_group_IT_number 8
_space_group_name_Hall 'C -2y'
_cell_length_a 8.657
_cell_length_b 2.765
_cell_length_c 5.935
_cell_angle_alpha 90.00
_cell_angle_beta 104.38
_cell_angle_gamma 90.00
loop_
_atom_site_label
_atom_site_fract_x
_atom_site_fract_y
_atom_site_fract_z
Cr1 0.000 0.000 0.000
Tc1 0.122 0.500 0.339
Ni1 0.319 0.000 0.177
Os1 0.433 0.500 0.548
Pd1 0.197 0.500 0.806
# E above lowest polymorph	0.52	eV/f.u.
# magnetic moment	0.0	μB per formula unit
# formation enthalpy at 0 K	0.2058	eV per atom

Entry 4:
# CrTcNiOsPd PBE relaxed
data_CrTcNiOsPd
_chemical_formula_sum 'Cr2 Tc2 Ni2 Os2 Pd2'
_space_group_name_H-M_alt 'I m m 2'
_space_group_IT_number 44
_space_group_name_Hall 'I 2 -2'
_cell_length_a 2.658
_cell_length_b 4.263
_cell_length_c 12.033
_cell_angle_alpha 90.00
_cell_angle_beta 90.00
_cell_angle_gamma 90.00
loop_
_atom_site_label
_atom_site_fract_x
_atom_site_fract_y
_atom_site_fract_z
Cr1 0.000 0.000 0.000
Tc1 0.000 0.000 0.426
Ni1 0.000 0.500 0.107
Os1 0.000 0.500 0.313
Pd1 0.000 0.500 0.700
# E above lowest polymorph	0.41	eV/f.u.
# magnetic moment	0.4	μB per formula unit
# formation enthalpy at 0 K	0.1841	eV per atom

Entry 5:
# CrTcNiOsPd PBE relaxed
data_CrTcNiOsPd
_chemical_formula_sum 'Cr2 Tc2 Ni2 Os2 Pd2'
_space_group_name_H-M_alt 'C 1 m 1'
_space_group_IT_number 8
_space_group_name_Hall 'C -2y'
_cell_length_a 8.817
_cell_length_b 2.707
_cell_length_c 6.533
_cell_angle_alpha 90.00
_cell_angle_beta 119.76
_cell_angle_gamma 90.00
loop_
_atom_site_label
_atom_site_fract_x
_atom_site_fract_y
_atom_site_fract_z
Cr1 0.000 0.000 0.000
Tc1 0.118 0.500 0.427
Ni1 0.415 0.000 0.628
Os1 0.214 0.000 0.817
Pd1 0.311 0.500 0.229
# E above lowest polymorph	0.18	eV/f.u.
# magnetic moment	1.1	μB per formula unit
# formation enthalpy at 0 K	0.1381	eV per atom

Entry 6:
# CrTcNiOsPd PBE relaxed
data_CrTcNiOsPd
_chemical_formula_sum 'Cr2 Tc2 Ni2 Os2 Pd2'
_space_group_name_H-M_alt 'C 1 m 1'
_space_group_IT_number 8
_space_group_name_Hall 'C -2y'
_cell_length_a 8.352
_cell_length_b 3.795
_cell_length_c 5.923
_cell_angle_alpha 90.00
_cell_angle_beta 134.30
_cell_angle_gamma 90.00
loop_
_atom_site_label
_atom_site_fract_x
_atom_site_fract_y
_atom_site_fract_z
Cr1 0.000 0.000 0.000
Tc1 0.102 0.500 0.803
Ni1 0.282 0.500 0.382
Os1 0.377 0.000 0.186
Pd1 0.197 0.000 0.588
# E above lowest polymorph	0.00	eV/f.u.
# magnetic moment	0.4	μB per formula unit
# formation enthalpy at 0 K	0.1022	eV per atom

Entry 7:
# CrTcNiOsPd PBE relaxed
data_CrTcNiOsPd
_chemical_formula_sum 'Cr2 Tc2 Ni2 Os2 Pd2'
_space_group_name_H-M_alt 'C 1 m 1'
_space_group_IT_number 8
_space_group_name_Hall 'C -2y'
_cell_length_a 8.617
_cell_length_b 3.948
_cell_length_c 5.011
_cell_angle_alpha 90.00
_cell_angle_beta 124.20
_cell_angle_gamma 90.00
loop_
_atom_site_label
_atom_site_fract_x
_atom_site_fract_y
_atom_site_fract_z
Cr1 0.000 0.000 0.000
Tc1 0.082 0.000 0.572
Ni1 0.434 0.000 0.702
Os1 0.368 0.000 0.146
Pd1 0.223 0.500 0.344
# E above lowest polymorph	0.75	eV/f.u.
# magnetic moment	0.0	μB per formula unit
# formation enthalpy at 0 K	0.2523	eV per atom

Entry 8:
# CrTcNiOsPd PBE relaxed
data_CrTcNiOsPd
_chemical_formula_sum 'Cr2 Tc2 Ni2 Os2 Pd2'
_space_group_name_H-M_alt 'C 1 m 1'
_space_group_IT_number 8
_space_group_name_Hall 'C -2y'
_cell_length_a 8.621
_cell_length_b 3.944
_cell_length_c 5.075
_cell_angle_alpha 90.00
_cell_angle_beta 124.93
_cell_angle_gamma 90.00
loop_
_atom_site_label
_atom_site_fract_x
_atom_site_fract_y
_atom_site_fract_z
Cr1 0.000 0.000 0.000
Tc1 0.132 0.500 0.851
Ni1 0.058 0.500 0.291
Os1 0.417 0.500 0.433
Pd1 0.275 0.000 0.643
# E above lowest polymorph	0.93	eV/f.u.
# magnetic moment	0.8	μB per formula unit
# formation enthalpy at 0 K	0.2880	eV per atom

Entry 9:
# CrTcNiOsPd PBE relaxed
data_CrTcNiOsPd
_chemical_formula_sum 'Cr2 Tc2 Ni2 Os2 Pd2'
_space_group_name_H-M_alt 'C 1 m 1'
_space_group_IT_number 8
_space_group_name_Hall 'C -2y'
_cell_length_a 8.962
_cell_length_b 2.699
_cell_length_c 6.558
_cell_angle_alpha 90.00
_cell_angle_beta 121.74
_cell_angle_gamma 90.00
loop_
_atom_site_label
_atom_site_fract_x
_atom_site_fract_y
_atom_site_fract_z
Cr1 0.000 0.000 0.000
Tc1 0.205 0.000 0.835
Ni1 0.283 0.500 0.212
Os1 0.402 0.000 0.632
Pd1 0.084 0.500 0.398
# E above lowest polymorph	0.06	eV/f.u.
# magnetic moment	0.0	μB per formula unit
# formation enthalpy at 0 K	0.1144	eV per atom

Entry 10:
# CrNiSn2Os PBE relaxed
data_CrNiSn2Os
_chemical_formula_sum 'Cr1 Ni1 Sn2 Os1'
_space_group_name_H-M_alt 'P 4/m m m'
_space_group_IT_number 123
_space_group_name_Hall '-P 4 2'
_cell_length_a 4.694
_cell_length_b 4.694
_cell_length_c 4.582
_cell_angle_alpha 90.00
_cell_angle_beta 90.00
_cell_angle_gamma 90.00
loop_
_atom_site_label
_atom_site_fract_x
_atom_site_fract_y
_atom_site_fract_z
Cr1 0.000 0.000 0.000
Ni1 0.500 0.500 0.500
Sn1 0.000 0.500 0.500
Os1 0.500 0.500 0.000
# magnetic moment	1.2	μB per formula unit
# formation enthalpy at 0 K	1.3941	eV per atom

Entry 11:
# TiCrNiOs PBE relaxed
data_TiCrNiOs
_chemical_formula_sum 'Ti4 Cr4 Ni4 Os4'
_space_group_name_H-M_alt 'F -4 3 m'
_space_group_IT_number 216
_space_group_name_Hall 'F -4 2 3'
_cell_length_a 6.005
_cell_length_b 6.005
_cell_length_c 6.005
_cell_angle_alpha 90.00
_cell_angle_beta 90.00
_cell_angle_gamma 90.00
loop_
_atom_site_label
_atom_site_fract_x
_atom_site_fract_y
_atom_site_fract_z
Ti1 0.000 0.000 0.000
Cr1 0.000 0.000 0.500
Ni1 0.250 0.250 0.250
Os1 0.250 0.250 0.750
# magnetic moment	2.2	μB per formula unit
# formation enthalpy at 0 K	-0.1461	eV per atom

Entry 12:
# TiCrNi2Os PBE relaxed
data_TiCrNi2Os
_chemical_formula_sum 'Ti1 Cr1 Ni2 Os1'
_space_group_name_H-M_alt 'P 4/m m m'
_space_group_IT_number 123
_space_group_name_Hall '-P 4 2'
_cell_length_a 4.519
_cell_length_b 4.519
_cell_length_c 4.415
_cell_angle_alpha 90.00
_cell_angle_beta 90.00
_cell_angle_gamma 90.00
loop_
_atom_site_label
_atom_site_fract_x
_atom_site_fract_y
_atom_site_fract_z
Ti1 0.000 0.000 0.000
Cr1 0.500 0.500 0.000
Ni1 0.000 0.500 0.500
Os1 0.500 0.500 0.500
# magnetic moment	2.6	μB per formula unit
# formation enthalpy at 0 K	1.1985	eV per atom

Entry 13:
# CrNiOsW2 PBE relaxed
data_CrNiOsW2
_chemical_formula_sum 'Cr1 Ni1 Os1 W2'
_space_group_name_H-M_alt 'P 4/m m m'
_space_group_IT_number 123
_space_group_name_Hall '-P 4 2'
_cell_length_a 4.438
_cell_length_b 4.438
_cell_length_c 4.412
_cell_angle_alpha 90.00
_cell_angle_beta 90.00
_cell_angle_gamma 90.00
loop_
_atom_site_label
_atom_site_fract_x
_atom_site_fract_y
_atom_site_fract_z
Cr1 0.000 0.000 0.000
Ni1 0.500 0.500 0.500
Os1 0.000 0.000 0.500
W1 0.000 0.500 0.000
# magnetic moment	0.0	μB per formula unit
# formation enthalpy at 0 K	1.6694	eV per atom

Entry 14:
# YCr2NiOs PBE relaxed
data_YCr2NiOs
_chemical_formula_sum 'Y1 Cr2 Ni1 Os1'
_space_group_name_H-M_alt 'P 4/m m m'
_space_group_IT_number 123
_space_group_name_Hall '-P 4 2'
_cell_length_a 4.630
_cell_length_b 4.630
_cell_length_c 4.434
_cell_angle_alpha 90.00
_cell_angle_beta 90.00
_cell_angle_gamma 90.00
loop_
_atom_site_label
_atom_site_fract_x
_atom_site_fract_y
_atom_site_fract_z
Y1 0.000 0.000 0.000
Cr1 0.000 0.500 0.000
Ni1 0.000 0.000 0.500
Os1 0.500 0.500 0.500
# magnetic moment	5.1	μB per formula unit
# formation enthalpy at 0 K	2.3408	eV per atom

Entry 15:
# Cr2NiP PBE relaxed
data_Cr2NiP
_chemical_formula_sum 'Cr2 Ni1 P1'
_space_group_name_H-M_alt 'P 1 2/m 1'
_space_group_IT_number 10
_space_group_name_Hall '-P 2y'
_cell_length_a 2.609
_cell_length_b 3.727
_cell_length_c 4.707
_cell_angle_alpha 90.00
_cell_angle_beta 97.36
_cell_angle_gamma 90.00
loop_
_atom_site_label
_atom_site_fract_x
_atom_site_fract_y
_atom_site_fract_z
Cr1 0.079 0.000 0.270
Ni1 0.500 0.500 0.000
P1 0.500 0.500 0.500
# magnetic moment	0.0	μB per formula unit
# formation enthalpy at 0 K	-0.0819	eV per atom

Entry 16:
# CrNiP PBE relaxed
data_CrNiP
_chemical_formula_sum 'Cr1 Ni1 P1'
_space_group_name_H-M_alt 'P 3 m 1'
_space_group_IT_number 156
_space_group_name_Hall 'P 3 -2"'
_cell_length_a 2.6584
_cell_length_b 2.6584
_cell_length_c 5.6537
_cell_angle_alpha 90.00
_cell_angle_beta 90.00
_cell_angle_gamma 120.00
loop_
_atom_site_label
_atom_site_fract_x
_atom_site_fract_y
_atom_site_fract_z
Cr1 0.0000 0.0000 0.0000
Ni1 0.6667 0.3333 0.3606
P1 0.3333 0.6667 0.6783
# magnetic moment	0.0	μB per formula unit
# formation enthalpy at 0 K	0.0082	eV per atom

Entry 17:
# CrNi2P PBE relaxed
data_CrNi2P
_chemical_formula_sum 'Cr2 Ni4 P2'
_space_group_name_H-M_alt 'I -4 m 2'
_space_group_IT_number 119
_space_group_name_Hall 'I -4 -2'
_cell_length_a 3.952
_cell_length_b 3.952
_cell_length_c 5.607
_cell_angle_alpha 90.00
_cell_angle_beta 90.00
_cell_angle_gamma 90.00
loop_
_atom_site_label
_atom_site_fract_x
_atom_site_fract_y
_atom_site_fract_z
Cr1 0.000 0.000 0.000
Ni1 0.000 0.000 0.500
Ni2 0.000 0.500 0.750
P1 0.000 0.500 0.250
# magnetic moment	0.8	μB per formula unit
# formation enthalpy at 0 K	-0.1617	eV per atom

Entry 18:
# CrNi2P PBE relaxed
data_CrNi2P
_chemical_formula_sum 'Cr1 Ni2 P1'
_space_group_name_H-M_alt 'P 4/m m m'
_space_group_IT_number 123
_space_group_name_Hall '-P 4 2'
_cell_length_a 2.724
_cell_length_b 2.724
_cell_length_c 6.121
_cell_angle_alpha 90.00
_cell_angle_beta 90.00
_cell_angle_gamma 90.00
loop_
_atom_site_label
_atom_site_fract_x
_atom_site_fract_y
_atom_site_fract_z
Cr1 0.000 0.000 0.000
Ni1 0.500 0.500 0.283
P1 0.000 0.000 0.500
# magnetic moment	0.8	μB per formula unit
# formation enthalpy at 0 K	0.0458	eV per atom

Entry 19:
# CrNiP PBE relaxed
data_CrNiP
_chemical_formula_sum 'Cr1 Ni1 P1'
_space_group_name_H-M_alt 'P -6 m 2'
_space_group_IT_number 187
_space_group_name_Hall 'P -6 2'
_cell_length_a 3.7212
_cell_length_b 3.7212
_cell_length_c 3.1422
_cell_angle_alpha 90.00
_cell_angle_beta 90.00
_cell_angle_gamma 120.00
loop_
_atom_site_label
_atom_site_fract_x
_atom_site_fract_y
_atom_site_fract_z
Cr1 0.0000 0.0000 0.0000
Ni1 0.3333 0.6667 0.5000
P1 0.6667 0.3333 0.5000
# magnetic moment	2.9	μB per formula unit
# formation enthalpy at 0 K	-0.3053	eV per atom

Entry 20:
# Cr2NiP PBE relaxed
data_Cr2NiP
_chemical_formula_sum 'Cr4 Ni2 P2'
_space_group_name_H-M_alt 'I m m 2'
_space_group_IT_number 44
_space_group_name_Hall 'I 2 -2'
_cell_length_a 2.918
_cell_length_b 4.022
_cell_length_c 7.721
_cell_angle_alpha 90.00
_cell_angle_beta 90.00
_cell_angle_gamma 90.00
loop_
_atom_site_label
_atom_site_fract_x
_atom_site_fract_y
_atom_site_fract_z
Cr1 0.000 0.000 0.000
Cr2 0.000 0.500 0.230
Ni1 0.000 0.500 0.776
P1 0.000 0.000 0.491
# magnetic moment	0.7	μB per formula unit
# formation enthalpy at 0 K	-0.1920	eV per atom